Computed, not measured: Dy3TlAu after structural relaxation at the PBE level of DFT.

Results
**Formation energy**: -0.3716 eV/atom
**Space-group type**: C2/c, No. 15
**Size of the total moment**: 0.00 μB/cell

a b c (Å): 8.1161 8.1161 11.1114
angles (deg): 92.82 92.82 49.81
Fractional coordinates of all 20 atoms:
Dy (0.1506, 0.7417, 0.9196)
Dy (0.1530, 0.2172, 0.3294)
Dy (0.2172, 0.1530, 0.8294)
Dy (0.2583, 0.8494, 0.5804)
Dy (0.3471, 0.4201, 0.1678)
Dy (0.4201, 0.3471, 0.6678)
Dy (0.5799, 0.6529, 0.3322)
Dy (0.6529, 0.5799, 0.8322)
Dy (0.7417, 0.1506, 0.4196)
Dy (0.7828, 0.8470, 0.1706)
Dy (0.8470, 0.7828, 0.6706)
Dy (0.8494, 0.2583, 0.0804)
Tl (0.1360, 0.6010, 0.4252)
Tl (0.3990, 0.8640, 0.0748)
Tl (0.6010, 0.1360, 0.9252)
Tl (0.8640, 0.3990, 0.5748)
Au (0.0000, 0.5000, 0.0000)
Au (0.1038, 0.8962, 0.2500)
Au (0.5000, 0.0000, 0.5000)
Au (0.8962, 0.1038, 0.7500)

Computed, not measured: Dy2TlAu after structural relaxation at the PBE level of DFT.

Results
**Formation energy**: -0.4438 eV/atom
**Space-group type**: Cm, No. 8
**Size of the total moment**: 0.00 μB/cell

a b c (Å): 3.9612 3.9612 8.7251
angles (deg): 103.20 103.20 59.63
Fractional coordinates of all 4 atoms:
Dy (0.0000, 0.0000, 0.0000)
Dy (0.1900, 0.1900, 0.5665)
Tl (0.7645, 0.7645, 0.2839)
Au (0.5950, 0.5950, 0.7843)

Computed, not measured: Dy5TlAu2 after structural relaxation at the PBE level of DFT.

Results
**Formation energy**: -0.5441 eV/atom
**Space-group type**: I4/mcm, No. 140
**Size of the total moment**: 0.00 μB/cell

a b c (Å): 8.7082 8.7082 8.7082
angles (deg): 124.58 124.58 82.23
Fractional coordinates of all 16 atoms:
Dy (0.0000, 0.0000, 0.0000)
Dy (0.0130, 0.5130, 0.8123)
Dy (0.2007, 0.0130, 0.5000)
Dy (0.2993, 0.7993, 0.8123)
Dy (0.4870, 0.2993, 0.5000)
Dy (0.5000, 0.5000, 0.0000)
Dy (0.5130, 0.7007, 0.5000)
Dy (0.7007, 0.2007, 0.1877)
Dy (0.7993, 0.9870, 0.5000)
Dy (0.9870, 0.4870, 0.1877)
Tl (0.2500, 0.2500, 0.0000)
Tl (0.7500, 0.7500, 0.0000)
Au (0.1363, 0.3637, 0.5000)
Au (0.3637, 0.8637, 0.2274)
Au (0.6363, 0.1363, 0.7726)
Au (0.8637, 0.6363, 0.5000)

Computed, not measured: Dy6TlAu2 after structural relaxation at the PBE level of DFT.

Results
**Formation energy**: -0.4693 eV/atom
**Space-group type**: Immm, No. 71
**Size of the total moment**: 0.00 μB/cell

a b c (Å): 8.6986 8.6986 8.6986
angles (deg): 113.51 110.87 104.17
Fractional coordinates of all 18 atoms:
Dy (0.0375, 0.2374, 0.8001)
Dy (0.1848, 0.2877, 0.4726)
Dy (0.1848, 0.7123, 0.8971)
Dy (0.3271, 0.0289, 0.7018)
Dy (0.3271, 0.6253, 0.2982)
Dy (0.4372, 0.2374, 0.1999)
Dy (0.5628, 0.7626, 0.8001)
Dy (0.6729, 0.3747, 0.7018)
Dy (0.6729, 0.9711, 0.2982)
Dy (0.8152, 0.2877, 0.1029)
Dy (0.8152, 0.7123, 0.5274)
Dy (0.9625, 0.7626, 0.1999)
Tl (0.0000, 0.0000, 0.0000)
Tl (0.5000, 0.5000, 0.0000)
Au (0.1326, 0.6326, 0.5000)
Au (0.3438, 0.0000, 0.3438)
Au (0.6562, 0.0000, 0.6562)
Au (0.8674, 0.3674, 0.5000)

Computed, not measured: Dy7Tl2Au2 after structural relaxation at the PBE level of DFT.

Results
**Formation energy**: -0.2589 eV/atom
**Space-group type**: Cmmm, No. 65
**Size of the total moment**: 0.00 μB/cell

a b c (Å): 6.9771 6.9771 7.1842
angles (deg): 90.00 90.00 107.14
Fractional coordinates of all 11 atoms:
Dy (0.0000, 0.0000, 0.0000)
Dy (0.0000, 0.5000, 0.2601)
Dy (0.0000, 0.5000, 0.7399)
Dy (0.5000, 0.0000, 0.2601)
Dy (0.5000, 0.0000, 0.7399)
Dy (0.5000, 0.5000, 0.2484)
Dy (0.5000, 0.5000, 0.7516)
Tl (0.1792, 0.1792, 0.5000)
Tl (0.8208, 0.8208, 0.5000)
Au (0.2912, 0.7088, 0.0000)
Au (0.7088, 0.2912, 0.0000)

Computed, not measured: DyTmTlAu after structural relaxation at the PBE level of DFT.

Results
**Formation energy**: -0.5640 eV/atom
**ΔE to the lowest computed polymorph**: 0.176 eV/f.u.
**Space-group type**: F-43m, No. 216
**Size of the total moment**: 0.00 μB/cell

a b c (Å): 5.2069 5.2069 5.2069
angles (deg): 60.00 60.00 60.00
Fractional coordinates of all 4 atoms:
Dy (0.0000, 0.0000, 0.0000)
Tm (0.5000, 0.5000, 0.5000)
Tl (0.2500, 0.2500, 0.2500)
Au (0.7500, 0.7500, 0.7500)

Computed, not measured: DyTmTlAu after structural relaxation at the PBE level of DFT.

Results
**Formation energy**: -0.6080 eV/atom
**ΔE to the lowest computed polymorph**: 0.000 eV/f.u.
**Space-group type**: P4mm, No. 99
**Size of the total moment**: 0.00 μB/cell

a b c (Å): 3.6027 3.6027 7.6580
angles (deg): 90.00 90.00 90.00
Fractional coordinates of all 4 atoms:
Dy (0.0000, 0.0000, 0.0000)
Tm (0.0000, 0.0000, 0.4588)
Tl (0.5000, 0.5000, 0.7277)
Au (0.5000, 0.5000, 0.2422)

Computed, not measured: DyYTlAu after structural relaxation at the PBE level of DFT.

Results
**Formation energy**: -0.5767 eV/atom
**ΔE to the lowest computed polymorph**: 0.157 eV/f.u.
**Space-group type**: F-43m, No. 216
**Size of the total moment**: 0.00 μB/cell

a b c (Å): 5.2444 5.2444 5.2444
angles (deg): 60.00 60.00 60.00
Fractional coordinates of all 4 atoms:
Dy (0.0000, 0.0000, 0.0000)
Y (0.5000, 0.5000, 0.5000)
Tl (0.2500, 0.2500, 0.2500)
Au (0.7500, 0.7500, 0.7500)

Computed, not measured: DyYTlAu after structural relaxation at the PBE level of DFT.

Results
**Formation energy**: -0.6160 eV/atom
**ΔE to the lowest computed polymorph**: 0.000 eV/f.u.
**Space-group type**: P4mm, No. 99
**Size of the total moment**: 0.00 μB/cell

a b c (Å): 3.6311 3.6311 7.7040
angles (deg): 90.00 90.00 90.00
Fractional coordinates of all 4 atoms:
Dy (0.0000, 0.0000, 0.0000)
Y (0.0000, 0.0000, 0.4604)
Tl (0.5000, 0.5000, 0.7297)
Au (0.5000, 0.5000, 0.2262)

Computed, not measured: Dy3TmAu after structural relaxation at the PBE level of DFT.

Results
**Formation energy**: -0.2301 eV/atom
**Space-group type**: C2/m, No. 12
**Size of the total moment**: 0.00 μB/cell

a b c (Å): 7.0751 7.0751 7.7699
angles (deg): 116.99 116.99 73.43
Fractional coordinates of all 10 atoms:
Dy (0.0451, 0.0451, 0.3136)
Dy (0.1079, 0.5111, 0.2868)
Dy (0.4889, 0.8921, 0.7132)
Dy (0.5111, 0.1079, 0.2868)
Dy (0.8921, 0.4889, 0.7132)
Dy (0.9549, 0.9549, 0.6864)
Tm (0.4221, 0.4221, 0.7269)
Tm (0.5779, 0.5779, 0.2731)
Au (0.2738, 0.2738, 0.9352)
Au (0.7262, 0.7262, 0.0648)

Computed, not measured: DyTmAu after structural relaxation at the PBE level of DFT.

Results
**Formation energy**: -0.6272 eV/atom
**ΔE to the lowest computed polymorph**: 0.084 eV/f.u.
**Space-group type**: P2_1/m, No. 11
**Size of the total moment**: 0.00 μB/cell

a b c (Å): 7.2704 4.8850 13.2627
angles (deg): 90.00 92.51 90.00
Fractional coordinates of all 18 atoms:
Dy (0.0028, 0.2500, 0.2823)
Dy (0.3783, 0.2500, 0.0830)
Dy (0.4796, 0.2500, 0.3764)
Dy (0.5204, 0.7500, 0.6236)
Dy (0.6217, 0.7500, 0.9170)
Dy (0.9972, 0.7500, 0.7177)
Tm (0.0372, 0.7500, 0.0864)
Tm (0.1390, 0.7500, 0.4550)
Tm (0.3409, 0.2500, 0.7831)
Tm (0.6591, 0.7500, 0.2169)
Tm (0.8610, 0.2500, 0.5450)
Tm (0.9628, 0.2500, 0.9136)
Au (0.2257, 0.7500, 0.9032)
Au (0.2585, 0.2500, 0.5654)
Au (0.2798, 0.7500, 0.2565)
Au (0.7202, 0.2500, 0.7435)
Au (0.7415, 0.7500, 0.4346)
Au (0.7743, 0.2500, 0.0968)

Q: The lowest formation energy belongs to which entry?
A: DyTmAu